# VO3, relaxed, DFT GGA+U
data_VO3
_cell_length_a 12.669
_cell_length_b 12.669
_cell_length_c 8.592
_cell_angle_alpha 90.00
_cell_angle_beta 90.00
_cell_angle_gamma 90.00
_symmetry_space_group_name_H-M 'P 42/n c m'
_symmetry_Int_Tables_number 138
loop_
_symmetry_equiv_pos_as_xyz
'x,y,z'
'-x,-y,-z'
'-y+1/2,x,z+1/2'
'y+1/2,-x,-z+1/2'
'-x+1/2,-y+1/2,z'
'x+1/2,y+1/2,-z'
'y,-x+1/2,z+1/2'
'-y,x+1/2,-z+1/2'
'x+1/2,-y,-z+1/2'
'-x+1/2,y,z+1/2'
'-y,-x,-z'
'y,x,z'
'-x,y+1/2,-z+1/2'
'x,-y+1/2,z+1/2'
'y+1/2,x+1/2,-z'
'-y+1/2,-x+1/2,z'
loop_
_atom_site_label
_atom_site_fract_x
_atom_site_fract_y
_atom_site_fract_z
_atom_site_occupancy
V1 0.099 0.699 0.185 1
O1 0.008 0.677 0.017 1
O2 0.062 0.674 0.868 1
O3 0.150 0.681 0.636 1
# Raw total energy: -6.459 eV per atom
# Spin magnetization: 15.78 μB/cell
# V: 21.55 Å³/atom